# 1
LiZnCd | SCAN | PBEsol geometry

## Properties
Distance to the lowest polymorph of the same formula   0 meV per atom
V   48.13 Å³/cell
Space-group type   Imm2

Cell: 3.1956 3.3655 5.0412 Å, 109.50 108.48 90.00°
Last column: nearest neighbours and their distance in Å.
Positions (direct):
Zn  0.3227  0.3227  0.6455  4 Li 2.67, 5 Cd 2.82-2.87
Cd  0.0025  0.0025  0.0051  5 Li 2.79-2.93, 5 Zn 2.82-2.87
Li  0.6747  0.6747  0.3494  4 Zn 2.67, 5 Cd 2.79-2.93

# 2
LiZnCd | SCAN | PBEsol geometry

## Properties
Distance to the lowest polymorph of the same formula   113 meV per atom
V   51.02 Å³/cell
Space-group type   P3m1

Cell: 2.8984 2.8984 7.0122 Å, 90.00 90.00 120.00°
Last column: nearest neighbours and their distance in Å.
Positions (direct):
Cd  0.0000  0.0000  0.9992  6 Cd 2.90, 3 Li 2.95, 3 Zn 2.96
Li  0.3333  0.6667  0.6532  3 Zn 2.72, 6 Li 2.90, 3 Cd 2.95
Zn  0.6667  0.3333  0.3475  3 Li 2.72, 6 Zn 2.90, 3 Cd 2.96

# 3
LiZnCd2 | SCAN | PBEsol geometry

## Properties
V   70.06 Å³/cell
Space-group type   I-4m2

Cell: 4.3595 4.3595 4.8055 Å, 116.97 116.97 90.00°
Last column: nearest neighbours and their distance in Å.
Positions (direct):
Zn  0.2500  0.7500  0.5000  8 Cd 2.85-3.08, 4 Li 2.85
Cd  0.0000  0.0000  0.0000  4 Cd 2.85, 4 Zn 2.85, 4 Li 3.08
Cd  0.7500  0.2500  0.5000  4 Cd 2.85, 4 Li 2.85, 4 Zn 3.08
Li  0.5000  0.5000  0.0000  8 Cd 2.85-3.08, 4 Zn 2.85

# 4
Li2ZnCd | SCAN | PBEsol geometry

## Properties
V   65.30 Å³/cell
Space-group type   Cm

Cell: 2.8735 4.9121 4.9314 Å, 100.81 106.94 90.00°
Last column: nearest neighbours and their distance in Å.
Positions (direct):
Zn  0.4974  0.4936  0.9949  7 Li 2.72-2.93, 3 Cd 2.82-2.89, 2 Zn 2.87
Cd  0.2457  0.7476  0.4915  7 Li 2.82-2.88, 3 Zn 2.82-2.89, 2 Cd 2.87
Li  0.9965  0.9992  0.9930  5 Li 2.78-2.94, 4 Zn 2.82-2.87, 3 Cd 2.84-2.86
Li  0.7603  0.2597  0.5206  3 Zn 2.72-2.93, 5 Li 2.78-2.94, 4 Cd 2.82-2.88

# 5
Li2Zn2Cd | SCAN | PBEsol geometry

## Properties
V   155.76 Å³/cell
Space-group type   P4/mbm

Cell: 3.0355 7.1632 7.1632 Å, 90.00 90.00 90.00°
Last column: nearest neighbours and their distance in Å.
Positions (direct):
Zn  0.0000  0.3750  0.8750  1 Zn 2.53, 6 Li 2.58-2.62, 2 Cd 2.83
Zn  0.0000  0.8750  0.6250  1 Zn 2.53, 6 Li 2.58-2.62, 2 Cd 2.83
Zn  0.0000  0.6250  0.1250  1 Zn 2.53, 6 Li 2.58-2.62, 2 Cd 2.83
Zn  0.0000  0.1250  0.3750  1 Zn 2.53, 6 Li 2.58-2.62, 2 Cd 2.83
Li  0.5000  0.1696  0.6696  6 Zn 2.58-2.62
Li  0.5000  0.6696  0.8304  6 Zn 2.58-2.62
Li  0.5000  0.8304  0.3304  6 Zn 2.58-2.62
Li  0.5000  0.3304  0.1696  6 Zn 2.58-2.62
Cd  0.0000  0.0000  0.0000  4 Zn 2.83, 2 Cd 3.04, 8 Li 3.06
Cd  0.0000  0.5000  0.5000  4 Zn 2.83, 2 Cd 3.04, 8 Li 3.06

# 6
LiZn4Cd | SCAN | PBEsol geometry

## Properties
V   92.02 Å³/cell
Space-group type   F-43m

Cell: 5.0676 5.0676 5.0676 Å, 60.00 60.00 60.00°
Last column: nearest neighbours and their distance in Å.
Positions (direct):
Zn  0.8762  0.3746  0.3746  6 Zn 2.53-2.54
Zn  0.3746  0.3746  0.3746  6 Zn 2.53-2.54
Zn  0.3746  0.3746  0.8762  6 Zn 2.53-2.54
Zn  0.3746  0.8762  0.3746  6 Zn 2.53-2.54
Li  0.0000  0.0000  0.0000  12 Zn 2.97, 4 Cd 3.10
Cd  0.7500  0.7500  0.7500  12 Zn 2.97, 4 Li 3.10

Number 1: E_form -0.18 eV per atom, size of the total moment 0.0000 μB/atom. Number 2: E_form -0.07 eV per atom, size of the total moment 0.0000 μB/atom. Number 3: E_form -0.14 eV per atom, size of the total moment 0.0000 μB/atom. Number 4: E_form -0.20 eV per atom, size of the total moment 0.0000 μB/atom. Number 5: E_form -0.18 eV per atom, size of the total moment 0.0000 μB/atom. Number 6: E_form -0.15 eV per atom, size of the total moment 0.0000 μB/atom.